This record from the Alexandria database describes a relaxed structure of CuAsSe2Br. The functional is GGA-PBE.

Calculated values
Energy ... -14.33 eV/cell
Volume ... 26.72 A^3/atom
E_form (uncorrected) ... 0.612 eV/atom
Relative energy among the computed polymorphs ... 763 meV/atom
Total magnetic moment ... 0.000 Bohr magnetons per cell

a = 5.0409 Å, b = 5.0409 Å, c = 5.2574 Å
α = 90.00°, β = 90.00°, γ = 90.00°
Atoms (fractional coordinates):
Cu 0.0000 0.0000 0.0000
As 0.5000 0.5000 0.5000
Se 0.0000 0.5000 0.5000
Se 0.5000 0.0000 0.5000
Br 0.5000 0.5000 0.0000